Material: DyPuBr2
Method: DFT, PBE
State: relaxed

Values from the calculation:
Crystal system: trigonal
Total energy (eV per atom): -6.429
Formation energy from raw total energies (kJ/mol of atoms): -82.86
D(E_F) (states/eV/f.u.): 7.8

a b c (Å): 3.726 3.726 10.285
angles (deg): 79.56 79.56 60.00
Each line ends with the local moment (μB).
Fractional positions:
Br 0.905 0.905 0.285  -0.02
Pu 0.500 0.500 0.500  5.85
Br 0.095 0.095 0.715  -0.02
Dy 0.000 0.000 0.000  0.05